# 1
Computed, not measured: crystalline NaMg3 at its relaxed geometry at the PBE-GGA level of DFT.

The calculation puts the raw total energy at -1.444 eV per atom. The calculation puts the formation energy at 0.3 eV/f.u. The space group is Pmmm. The mass density is 1.57 g/cm3.

POSCAR file:
```
NaMg3
1.0
-1.511 -0.461 -2.732
-4.045 -1.027 2.411
-1.716 6.436 -0.138
Mg Na
3 1
Direct
0.500 0.500 0.734 Mg
0.500 0.500 0.266 Mg
0.000 0.000 0.500 Mg
0.000 0.000 0.000 Na
```

=====

# 2
Computed, not measured: crystalline KPb4Au at its relaxed geometry at the PBE-GGA level of DFT.

The calculation puts the raw total energy at -3.086 eV per atom. The calculation puts the formation energy at 0.7 eV/f.u. The space group is F-43m. The mass density is 9.06 g/cm3.

POSCAR file:
```
KPb4Au
1.0
-0.013 -3.679 5.371
-4.553 0.917 4.562
-4.666 -4.454 0.884
Pb Au K
4 1 1
Direct
0.376 0.873 0.376 Pb
0.376 0.376 0.873 Pb
0.873 0.376 0.376 Pb
0.376 0.376 0.376 Pb
0.750 0.750 0.750 Au
0.000 0.000 0.000 K
```

=====

# 3
Computed, not measured: crystalline VCu2As at its relaxed geometry at the PBE-GGA level of DFT.

The calculation puts the raw total energy at -4.986 eV per atom. The calculation puts the formation energy at 2.0 eV/f.u. The space group is R-3m. The mass density is 7.18 g/cm3.

POSCAR file:
```
VCu2As
1.0
-1.167 2.002 1.310
-1.827 1.502 -1.220
-7.849 -4.763 2.990
Cu As V
2 1 1
Direct
0.086 0.086 0.743 Cu
0.914 0.914 0.257 Cu
0.500 0.500 0.500 As
0.000 0.000 0.000 V
```

=====

The lowest mass density belongs to which entry? NaMg3

=====

Which of these has the lowest mass density? NaMg3